Density functional theory data (GGA-PBE) for crystalline TaTi2NbP at its relaxed geometry.

Raw total energy, eV/atom: -8.62
Energy relative to the elements, meV per atom: 7

abc: 4.4739 4.4739 4.6722
angles: 90.00 90.00 90.00
Space group P4/mmm (No. 123)
One atom of each set of equivalent atoms:
Ta  0.0000  0.0000  0.0000
Ti  0.0000  0.5000  0.5000
Nb  0.5000  0.5000  0.0000
P  0.0000  0.0000  0.5000

=====

Density functional theory data (GGA-PBE) for crystalline TbNbP at its relaxed geometry.

Raw total energy, eV/atom: -7.31
Energy relative to the elements, meV per atom: -607

abc: 6.4117 5.5482 7.5721
angles: 90.00 90.18 90.00
Space group P2_1/c (No. 14)
One atom of each set of equivalent atoms:
Tb  0.1213  0.2114  0.1397
Nb  0.4346  0.7107  0.0881
P  0.2812  0.5297  0.3604

=====

Density functional theory data (GGA-PBE) for crystalline NbTc2P at its relaxed geometry.

Raw total energy, eV/atom: -8.96
Energy relative to the elements, meV per atom: 95

abc: 3.7953 3.7953 17.9541
angles: 90.00 90.00 90.00
Space group I-42d (No. 122)
One atom of each set of equivalent atoms:
Nb  0.0000  0.0000  0.0000
Tc  0.1987  0.2500  0.6250
P  0.0000  0.0000  0.5000

=====

Density functional theory data (GGA-PBE) for crystalline NbTcP3 at its relaxed geometry.

Raw total energy, eV/atom: -6.35
Energy relative to the elements, meV per atom: 982
Energy above the lowest structure with this stoichiometry, meV per atom: 114.9

abc: 4.7814 4.7814 4.7814
angles: 90.00 90.00 90.00
Space group Pm-3m (No. 221)
One atom of each set of equivalent atoms:
Nb  0.0000  0.0000  0.0000
Tc  0.5000  0.5000  0.5000
P  0.0000  0.0000  0.5000

=====

Density functional theory data (GGA-PBE) for crystalline Nb3TcP at its relaxed geometry.

Raw total energy, eV/atom: -8.75
Energy relative to the elements, meV per atom: 448
Energy above the lowest structure with this stoichiometry, meV per atom: 0.0

abc: 4.5588 4.5588 4.5588
angles: 90.00 90.00 90.00
Space group Pm-3m (No. 221)
One atom of each set of equivalent atoms:
Nb  0.0000  0.0000  0.5000
Tc  0.5000  0.5000  0.5000
P  0.0000  0.0000  0.0000

=====

Density functional theory data (GGA-PBE) for crystalline NbTcP3 at its relaxed geometry.

Raw total energy, eV/atom: -6.47
Energy relative to the elements, meV per atom: 867
Energy above the lowest structure with this stoichiometry, meV per atom: 0.0

abc: 4.5606 4.5606 4.5606
angles: 90.00 90.00 90.00
Space group Pm-3m (No. 221)
One atom of each set of equivalent atoms:
Nb  0.0000  0.0000  0.0000
Tc  0.5000  0.5000  0.5000
P  0.0000  0.5000  0.5000

=====

Density functional theory data (GGA-PBE) for crystalline NbTc2P at its relaxed geometry.

Raw total energy, eV/atom: -9.55
Energy relative to the elements, meV per atom: -496

abc: 3.2422 9.6967 7.4311
angles: 90.00 90.00 90.00
Space group Cmcm (No. 63)
One atom of each set of equivalent atoms:
Nb  0.0000  0.0578  0.2500
Tc  0.0000  0.3642  0.0483
P  0.0000  0.2325  0.7500

=====

Density functional theory data (GGA-PBE) for crystalline Nb2TcP2 at its relaxed geometry.

Raw total energy, eV/atom: -8.88
Energy relative to the elements, meV per atom: -612

abc: 6.6127 6.6127 3.4018
angles: 90.00 90.00 90.00
Space group P4/mbm (No. 127)
One atom of each set of equivalent atoms:
Nb  0.1541  0.3459  0.0000
Tc  0.0000  0.0000  0.5000
P  0.1464  0.6464  0.5000

=====

Density functional theory data (GGA-PBE) for crystalline Nb3TcP at its relaxed geometry.

Raw total energy, eV/atom: -8.02
Energy relative to the elements, meV per atom: 1175
Energy above the lowest structure with this stoichiometry, meV per atom: 727.2

abc: 4.7937 4.7937 4.7937
angles: 90.00 90.00 90.00
Space group Pm-3m (No. 221)
One atom of each set of equivalent atoms:
Nb  0.0000  0.0000  0.5000
Tc  0.0000  0.0000  0.0000
P  0.5000  0.5000  0.5000

=====

Density functional theory data (GGA-PBE) for crystalline NbTc2P2 at its relaxed geometry.

Raw total energy, eV/atom: -8.71
Energy relative to the elements, meV per atom: -385

abc: 6.9474 6.9474 2.9201
angles: 90.00 90.00 90.00
Space group P4/mbm (No. 127)
One atom of each set of equivalent atoms:
Nb  0.0000  0.0000  0.0000
Tc  0.1432  0.3568  0.5000
P  0.1557  0.6557  0.0000

=====

Density functional theory data (GGA-PBE) for crystalline Nb2TcP at its relaxed geometry.

Raw total energy, eV/atom: -8.69
Energy relative to the elements, meV per atom: 287

abc: 3.8632 3.8632 18.2940
angles: 90.00 90.00 90.00
Space group I-42d (No. 122)
One atom of each set of equivalent atoms:
Nb  0.2346  0.2500  0.1250
Tc  0.0000  0.0000  0.5000
P  0.0000  0.0000  0.0000

=====

Density functional theory data (GGA-PBE) for crystalline NbTcP2W at its relaxed geometry.

Raw total energy, eV/atom: -7.52
Energy relative to the elements, meV per atom: 1327

abc: 4.5543 4.5543 5.1358
angles: 90.00 90.00 90.00
Space group P4/mmm (No. 123)
One atom of each set of equivalent atoms:
Nb  0.0000  0.0000  0.0000
Tc  0.5000  0.5000  0.0000
P  0.0000  0.5000  0.5000
W  0.0000  0.0000  0.5000

=====

Density functional theory data (GGA-PBE) for crystalline Nb3TeP at its relaxed geometry.

Formation energy without anion corrections, eV/atom: 0.2083
Raw total energy, eV/atom: -7.54
Energy above the lowest structure with this stoichiometry, meV per atom: 0.0

abc: 4.6742 4.6742 4.6742
angles: 90.00 90.00 90.00
Space group Pm-3m (No. 221)
One atom of each set of equivalent atoms:
Nb  0.0000  0.0000  0.5000
Te  0.5000  0.5000  0.5000
P  0.0000  0.0000  0.0000

=====

Density functional theory data (GGA-PBE) for crystalline NbTe3P at its relaxed geometry.

Formation energy without anion corrections, eV/atom: 0.6568
Raw total energy, eV/atom: -4.32
Energy above the lowest structure with this stoichiometry, meV per atom: 0.0

abc: 5.4207 5.4207 5.4207
angles: 90.00 90.00 90.00
Space group Pm-3m (No. 221)
One atom of each set of equivalent atoms:
Nb  0.0000  0.0000  0.0000
Te  0.0000  0.0000  0.5000
P  0.5000  0.5000  0.5000

=====

Density functional theory data (GGA-PBE) for crystalline Nb2TeP at its relaxed geometry.

Formation energy without anion corrections, eV/atom: -0.2257
Raw total energy, eV/atom: -7.40
Energy above the lowest structure with this stoichiometry, meV per atom: 0.0

abc: 6.5707 6.5707 6.5707
angles: 90.00 90.00 90.00
Space group Fm-3m (No. 225)
One atom of each set of equivalent atoms:
Nb  0.2500  0.2500  0.2500
Te  0.0000  0.0000  0.0000
P  0.0000  0.0000  0.5000

=====

Density functional theory data (GGA-PBE) for crystalline NbTeP3 at its relaxed geometry.

Formation energy without anion corrections, eV/atom: 0.4936
Raw total energy, eV/atom: -5.39
Energy above the lowest structure with this stoichiometry, meV per atom: 0.0

abc: 4.8575 4.8575 4.8575
angles: 90.00 90.00 90.00
Space group Pm-3m (No. 221)
One atom of each set of equivalent atoms:
Nb  0.0000  0.0000  0.0000
Te  0.5000  0.5000  0.5000
P  0.0000  0.0000  0.5000

=====

Density functional theory data (GGA-PBE) for crystalline NbTe2P at its relaxed geometry.

Formation energy without anion corrections, eV/atom: 0.5722
Raw total energy, eV/atom: -4.87

abc: 6.3757 6.3757 12.2010
angles: 90.00 90.00 90.00
Space group I-42d (No. 122)
One atom of each set of equivalent atoms:
Nb  0.0000  0.0000  0.0000
Te  0.2413  0.2500  0.1250
P  0.0000  0.0000  0.5000

=====

Density functional theory data (GGA-PBE) for crystalline NbTeP3 at its relaxed geometry.

Formation energy without anion corrections, eV/atom: 1.5609
Raw total energy, eV/atom: -4.33
Energy above the lowest structure with this stoichiometry, meV per atom: 1067.3

abc: 4.8680 4.8680 4.8680
angles: 90.00 90.00 90.00
Space group Pm-3m (No. 221)
One atom of each set of equivalent atoms:
Nb  0.0000  0.0000  0.0000
Te  0.5000  0.5000  0.5000
P  0.0000  0.5000  0.5000

=====

Density functional theory data (GGA-PBE) for crystalline NbTe2P at its relaxed geometry.

Formation energy without anion corrections, eV/atom: 0.1871
Raw total energy, eV/atom: -5.25

abc: 3.5585 3.5585 27.7994
angles: 90.00 90.00 120.00
Space group R-3m (No. 166, hexagonal axes)
One atom of each set of equivalent atoms:
Nb  0.0000  0.0000  0.0000
Te  0.0000  0.0000  0.4020
P  0.0000  0.0000  0.5000

=====

Density functional theory data (GGA-PBE) for crystalline Nb2TeP at its relaxed geometry.

Formation energy without anion corrections, eV/atom: 0.1688
Raw total energy, eV/atom: -7.00
Energy above the lowest structure with this stoichiometry, meV per atom: 394.6

abc: 5.0576 5.0576 15.0758
angles: 90.00 90.00 90.00
Space group I-42d (No. 122)
One atom of each set of equivalent atoms:
Nb  0.1708  0.2500  0.1250
Te  0.0000  0.0000  0.5000
P  0.0000  0.0000  0.0000

=====

Number 1: N(E_F) 0.7504 states/eV per atom. Number 2: N(E_F) 0.7765 states/eV per atom. Number 3: N(E_F) 0.8311 states/eV per atom. Number 4: N(E_F) 0.6198 states/eV per atom. Number 5: N(E_F) 1.0684 states/eV per atom. Number 6: N(E_F) 2.1269 states/eV per atom. Number 7: N(E_F) 0.8918 states/eV per atom. Number 8: N(E_F) 0.7331 states/eV per atom. Number 9: N(E_F) 0.9897 states/eV per atom. Number 10: N(E_F) 0.8429 states/eV per atom. Number 11: N(E_F) 0.8677 states/eV per atom. Number 12: N(E_F) 0.8298 states/eV per atom. Number 13: N(E_F) 0.9390 states/eV per atom. Number 14: N(E_F) 0.8029 states/eV per atom. Number 15: N(E_F) 2.0639 states/eV per atom. Number 16: N(E_F) 1.2498 states/eV per atom. Number 17: N(E_F) 0.8118 states/eV per atom. Number 18: N(E_F) 1.5708 states/eV per atom. Number 19: N(E_F) 0.6376 states/eV per atom. Number 20: N(E_F) 1.1376 states/eV per atom.